Entry 1
The following is a DFT calculation (PBE-GGA) of a relaxed Ti3BeN crystal.

abc: 4.053 4.053 4.053
angles: 90.00 90.00 90.00
Atoms (fractional coordinates):
Ti 0.000 0.000 0.500
Ti 0.000 0.500 0.000
Ti 0.500 0.000 0.000
Be 0.500 0.500 0.500
N 0.000 0.000 0.000

Values from the calculation:
**SG**: No. 221
**Crystal system**: cubic
**Density of states at the Fermi level**: 3.23 states/eV per cell

=====

Entry 2
The following is a DFT calculation (PBE-GGA) of a relaxed Ti3BeN crystal.

abc: 3.056 5.357 8.062
angles: 90.00 90.00 106.58
Atoms (fractional coordinates):
Ti 0.554 0.108 0.750
Ti 0.869 0.739 0.949
Ti 0.131 0.261 0.051
Ti 0.446 0.892 0.250
Ti 0.869 0.739 0.551
Ti 0.131 0.261 0.449
Be 0.245 0.490 0.750
Be 0.755 0.510 0.250
N 0.500 0.000 0.500
N 0.500 0.000 0.000

Values from the calculation:
**SG**: No. 63
**Crystal system**: orthorhombic
**Density of states at the Fermi level**: 9.39 states/eV per cell

=====

entry 2 is favored, and the nearest alternative lies 90 meV/atom above it.

=====

Entry 1
The following is a DFT calculation (PBE-GGA) of a relaxed Be3TlN crystal.

abc: 3.781 3.781 3.781
angles: 90.00 90.00 90.00
Atoms (fractional coordinates):
Be 0.500 0.000 0.000
Be 0.000 0.000 0.500
Be 0.000 0.500 0.000
Tl 0.500 0.500 0.500
N 0.000 0.000 0.000

Values from the calculation:
**SG**: No. 221
**Crystal system**: cubic
**Density of states at the Fermi level**: 0.90 states/eV per cell

=====

Entry 2
The following is a DFT calculation (PBE-GGA) of a relaxed Be3TlN crystal.

abc: 4.544 4.544 4.544
angles: 90.00 90.00 90.00
Last column: magnetic moment on the atom in μB.
Atoms (fractional coordinates):
Tl 0.000 0.000 0.000  0.08
Be 0.000 0.500 0.000  0.01
Be 0.500 0.000 0.000  0.00
Be 0.000 0.000 0.500  0.00
N 0.500 0.500 0.500  1.37

Values from the calculation:
**SG**: No. 221
**Crystal system**: cubic
**Density of states at the Fermi level**: 1.73 states/eV per cell

=====

entry 1 is favored, and the nearest alternative lies 1689 meV/atom above it.

=====

Entry 1
The following is a DFT calculation (PBE-GGA) of a relaxed BeTlN2 crystal.

abc: 4.579 4.579 5.616
angles: 65.94 65.94 90.00
Last column: magnetic moment on the atom in μB.
Atoms (fractional coordinates):
N 0.875 0.777 0.750  0.32
N 0.223 0.625 0.250  0.33
N 0.527 0.125 0.250  0.33
N 0.375 0.473 0.750  0.32
Be 0.500 0.500 0.000  0.00
Be 0.250 0.750 0.500  0.00
Tl 0.000 0.000 0.000  0.04
Tl 0.750 0.250 0.500  0.04

Values from the calculation:
**SG**: No. 122
**Crystal system**: tetragonal
**Density of states at the Fermi level**: 4.26 states/eV per cell

=====

Entry 2
The following is a DFT calculation (PBE-GGA) of a relaxed BeTlN2 crystal.

abc: 3.976 3.976 3.976
angles: 60.00 60.00 60.00
Atoms (fractional coordinates):
N 0.750 0.750 0.750
N 0.250 0.250 0.250
Be 0.000 0.000 0.000
Tl 0.500 0.500 0.500

Values from the calculation:
**SG**: No. 225
**Crystal system**: cubic
**Density of states at the Fermi level**: 2.69 states/eV per cell

=====

Entry 3
The following is a DFT calculation (PBE-GGA) of a relaxed BeTlN2 crystal.

abc: 5.809 5.809 5.809
angles: 35.10 35.10 35.10
Atoms (fractional coordinates):
N 0.906 0.906 0.906
N 0.094 0.094 0.094
Be 0.000 0.000 0.000
Tl 0.500 0.500 0.500

Values from the calculation:
**SG**: No. 166
**Crystal system**: trigonal
**Density of states at the Fermi level**: 2.19 states/eV per cell

=====

entry 1 is favored, and the nearest alternative lies 264 meV/atom above it.

=====

Entry 1
The following is a DFT calculation (PBE-GGA) of a relaxed Be3VN crystal.

abc: 4.283 4.283 4.283
angles: 90.00 90.00 90.00
Last column: magnetic moment on the atom in μB.
Atoms (fractional coordinates):
Be 0.000 0.000 0.500  -0.06
Be 0.000 0.500 0.000  -0.06
Be 0.500 0.000 0.000  -0.06
N 0.500 0.500 0.500  0.76
V 0.000 0.000 0.000  -0.63

Values from the calculation:
**SG**: No. 221
**Crystal system**: cubic
**Density of states at the Fermi level**: 2.72 states/eV per cell

=====

Entry 2
The following is a DFT calculation (PBE-GGA) of a relaxed Be3VN crystal.

abc: 3.582 3.582 3.582
angles: 90.00 90.00 90.00
Last column: magnetic moment on the atom in μB.
Atoms (fractional coordinates):
V 0.500 0.500 0.500  1.31
N 0.000 0.000 0.000  0.08
Be 0.500 0.000 0.000  0.01
Be 0.000 0.500 0.000  0.01
Be 0.000 0.000 0.500  0.01

Values from the calculation:
**SG**: No. 221
**Crystal system**: cubic
**Density of states at the Fermi level**: 5.53 states/eV per cell

=====

entry 2 is favored, and the nearest alternative lies 2292 meV/atom above it.

=====

Entry 1
The following is a DFT calculation (PBE-GGA) of a relaxed BeW2N crystal.

abc: 4.636 4.636 6.278
angles: 68.33 68.33 90.00
Atoms (fractional coordinates):
W 0.067 0.625 0.250
W 0.683 0.125 0.250
W 0.375 0.317 0.750
W 0.875 0.933 0.750
N 0.750 0.250 0.500
N 0.000 0.000 0.000
Be 0.250 0.750 0.500
Be 0.500 0.500 0.000

Values from the calculation:
**SG**: No. 122
**Crystal system**: tetragonal
**Density of states at the Fermi level**: 7.57 states/eV per cell

=====

Entry 2
The following is a DFT calculation (PBE-GGA) of a relaxed BeW2N crystal.

abc: 3.990 3.990 3.990
angles: 60.00 60.00 60.00
Atoms (fractional coordinates):
Be 0.000 0.000 0.000
W 0.250 0.250 0.250
W 0.750 0.750 0.750
N 0.500 0.500 0.500

Values from the calculation:
**SG**: No. 225
**Crystal system**: cubic
**Density of states at the Fermi level**: 3.48 states/eV per cell

=====

entry 2 is favored, and the nearest alternative lies 40 meV/atom above it.

=====

Entry 1
The following is a DFT calculation (PBE-GGA) of a relaxed Be3WN crystal.

abc: 3.614 3.614 3.614
angles: 90.00 90.00 90.00
Last column: magnetic moment on the atom in μB.
Atoms (fractional coordinates):
N 0.000 0.000 0.000  0.16
Be 0.000 0.000 0.500  0.01
Be 0.500 0.000 0.000  0.00
Be 0.000 0.500 0.000  0.01
W 0.500 0.500 0.500  0.67

Values from the calculation:
**SG**: No. 221
**Crystal system**: cubic
**Density of states at the Fermi level**: 4.55 states/eV per cell

=====

Entry 2
The following is a DFT calculation (PBE-GGA) of a relaxed Be3WN crystal.

abc: 4.384 4.384 4.384
angles: 90.00 90.00 90.00
Last column: magnetic moment on the atom in μB.
Atoms (fractional coordinates):
Be 0.000 0.500 0.000  -0.06
Be 0.500 0.000 0.000  -0.10
Be 0.000 0.000 0.500  -0.03
N 0.500 0.500 0.500  1.05
W 0.000 0.000 0.000  -0.12

Values from the calculation:
**SG**: No. 221
**Crystal system**: cubic
**Density of states at the Fermi level**: 4.79 states/eV per cell

=====

entry 1 is favored, and the nearest alternative lies 2197 meV/atom above it.

=====

Entry 1
The following is a DFT calculation (PBE-GGA) of a relaxed Y2BeN crystal.

abc: 3.447 3.447 8.648
angles: 78.50 78.50 60.00
Last column: magnetic moment on the atom in μB.
Atoms (fractional coordinates):
Be 0.000 0.000 0.000  0.01
Y 0.885 0.885 0.344  0.07
Y 0.115 0.115 0.656  0.07
N 0.500 0.500 0.500  -0.01

Values from the calculation:
**SG**: No. 166
**Crystal system**: trigonal
**Density of states at the Fermi level**: 4.02 states/eV per cell

=====

Entry 2
The following is a DFT calculation (PBE-GGA) of a relaxed Y2BeN crystal.

abc: 6.562 6.562 6.040
angles: 57.10 57.10 90.00
Atoms (fractional coordinates):
N 0.000 0.000 0.000
N 0.750 0.250 0.500
Y 0.375 0.309 0.750
Y 0.059 0.625 0.250
Y 0.875 0.941 0.750
Y 0.691 0.125 0.250
Be 0.250 0.750 0.500
Be 0.500 0.500 0.000

Values from the calculation:
**SG**: No. 122
**Crystal system**: tetragonal
**Density of states at the Fermi level**: 5.76 states/eV per cell

=====

Entry 3
The following is a DFT calculation (PBE-GGA) of a relaxed Y2BeN crystal.

abc: 4.585 4.585 4.585
angles: 60.00 60.00 60.00
Atoms (fractional coordinates):
Y 0.750 0.750 0.750
Y 0.250 0.250 0.250
Be 0.000 0.000 0.000
N 0.500 0.500 0.500

Values from the calculation:
**SG**: No. 225
**Crystal system**: cubic
**Density of states at the Fermi level**: 3.83 states/eV per cell

=====

entry 2 is favored, and the nearest alternative lies 270 meV/atom above it.

=====

Entry 1
The following is a DFT calculation (PBE-GGA) of a relaxed YBe3N crystal.

abc: 3.932 3.932 3.932
angles: 90.00 90.00 90.00
Atoms (fractional coordinates):
Be 0.000 0.000 0.500
Be 0.500 0.000 0.000
Be 0.000 0.500 0.000
N 0.000 0.000 0.000
Y 0.500 0.500 0.500

Values from the calculation:
**SG**: No. 221
**Crystal system**: cubic
**Density of states at the Fermi level**: 3.06 states/eV per cell

=====

Entry 2
The following is a DFT calculation (PBE-GGA) of a relaxed YBe3N crystal.

abc: 5.108 5.108 5.108
angles: 90.00 90.00 90.00
Last column: magnetic moment on the atom in μB.
Atoms (fractional coordinates):
Be 0.000 0.000 0.500  0.00
Be 0.500 0.000 0.000  -0.03
Be 0.000 0.500 0.000  -0.01
N 0.500 0.500 0.500  -0.03
Y 0.000 0.000 0.000  -0.10

Values from the calculation:
**SG**: No. 221
**Crystal system**: cubic
**Density of states at the Fermi level**: 5.79 states/eV per cell

=====

entry 1 is favored, and the nearest alternative lies 2629 meV/atom above it.

=====

Entry 1
The following is a DFT calculation (PBE-GGA) of a relaxed Zr3BeN crystal.

abc: 4.421 4.421 4.421
angles: 90.00 90.00 90.00
Atoms (fractional coordinates):
Zr 0.000 0.000 0.500
Zr 0.000 0.500 0.000
Zr 0.500 0.000 0.000
Be 0.500 0.500 0.500
N 0.000 0.000 0.000

Values from the calculation:
**SG**: No. 221
**Crystal system**: cubic
**Density of states at the Fermi level**: 2.62 states/eV per cell

=====

Entry 2
The following is a DFT calculation (PBE-GGA) of a relaxed Zr3BeN crystal.

abc: 3.327 5.870 8.694
angles: 90.00 90.00 106.46
Atoms (fractional coordinates):
Be 0.740 0.480 0.750
Be 0.260 0.520 0.250
Zr 0.061 0.122 0.750
Zr 0.370 0.739 0.943
Zr 0.370 0.739 0.557
Zr 0.630 0.261 0.443
Zr 0.939 0.878 0.250
Zr 0.630 0.261 0.057
N 0.000 0.000 0.500
N 0.000 0.000 0.000

Values from the calculation:
**SG**: No. 63
**Crystal system**: orthorhombic
**Density of states at the Fermi level**: 8.09 states/eV per cell

=====

entry 2 is favored, and the nearest alternative lies 188 meV/atom above it.